1.
This record from the Alexandria database describes a geometry-optimized BeCrGe3 structure. The functional is PBE.

The structure belongs to space group Pm-3m (No. 221); the cell edges are 4.632, 4.632 and 4.632 Å and the angles 90.00°, 90.00° and 90.00°. Symmetry generates all atoms from Be at (0.000, 0.000, 0.000), Cr at (0.500, 0.500, 0.500) and Ge at (0.000, 0.500, 0.500).

For the formation energy, the calculation gives 0.67 eV per atom. As for the energy relative to the lowest polymorph listed for this composition: 0.0 kJ per mole of atoms.

=====

2.
This record from the Alexandria database describes a geometry-optimized Be2CrGe2 structure. The functional is PBE.

The structure belongs to space group P4/mbm (No. 127); the cell edges are 6.218, 6.218 and 3.249 Å and the angles 90.00°, 90.00° and 90.00°. Symmetry generates all atoms from Be at (0.123, 0.377, 0.000), Cr at (0.000, 0.000, 0.000) and Ge at (0.174, 0.674, 0.500).

For the formation energy, the calculation gives 0.37 eV per atom. As for the energy relative to the lowest polymorph listed for this composition: 0.0 kJ per mole of atoms.

=====

3.
This record from the Alexandria database describes a geometry-optimized BeCr2Ge2 structure. The functional is PBE.

The structure belongs to space group I4/mmm (No. 139); the cell edges are 3.468, 3.468 and 11.841 Å and the angles 90.00°, 90.00° and 90.00°. Symmetry generates all atoms from Be at (0.000, 0.000, 0.000), Cr at (0.000, 0.500, 0.250) and Ge at (0.000, 0.000, 0.400).

For the formation energy, the calculation gives 0.56 eV per atom. As for the energy relative to the lowest polymorph listed for this composition: 37.3 kJ per mole of atoms.

=====

4.
This record from the Alexandria database describes a geometry-optimized BeCrGe structure. The functional is PBE.

The structure belongs to space group Ama2 (No. 40); the cell edges are 4.245, 4.135 and 8.005 Å and the angles 90.00°, 90.00° and 90.00°. Symmetry generates all atoms from Be at (0.250, 0.188, 0.000), Cr at (0.250, 0.191, 0.352) and Ge at (0.250, 0.200, 0.670).

For the formation energy, the calculation gives 0.19 eV per atom.

=====

5.
This record from the Alexandria database describes a geometry-optimized BeCr2Ge structure. The functional is PBE.

The structure belongs to space group I-42d (No. 122); the cell edges are 3.408, 3.408 and 17.343 Å and the angles 90.00°, 90.00° and 90.00°. Symmetry generates all atoms from Be at (0.000, 0.000, 0.000), Cr at (0.219, 0.250, 0.125) and Ge at (0.000, 0.000, 0.500).

For the formation energy, the calculation gives 0.49 eV per atom. As for the energy relative to the lowest polymorph listed for this composition: 24.3 kJ per mole of atoms.

=====

6.
This record from the Alexandria database describes a geometry-optimized BeCr2Ge2 structure. The functional is PBE.

The structure belongs to space group P4/mbm (No. 127); the cell edges are 6.080, 6.080 and 3.502 Å and the angles 90.00°, 90.00° and 90.00°. Symmetry generates all atoms from Be at (0.000, 0.000, 0.000), Cr at (0.154, 0.346, 0.000) and Ge at (0.154, 0.654, 0.500).

For the formation energy, the calculation gives 0.17 eV per atom. As for the energy relative to the lowest polymorph listed for this composition: 0.0 kJ per mole of atoms.

=====

7.
This record from the Alexandria database describes a geometry-optimized Be2CrGe2 structure. The functional is PBE.

The structure belongs to space group P4/mbm (No. 127); the cell edges are 6.356, 6.356 and 3.233 Å and the angles 90.00°, 90.00° and 90.00°. Symmetry generates all atoms from Be at (0.147, 0.353, 0.000), Cr at (0.000, 0.000, 0.500) and Ge at (0.149, 0.649, 0.500).

For the formation energy, the calculation gives 0.39 eV per atom. As for the energy relative to the lowest polymorph listed for this composition: 2.0 kJ per mole of atoms.

=====

8.
This record from the Alexandria database describes a geometry-optimized BeCr2Ge2 structure. The functional is PBE.

The structure belongs to space group P4/mbm (No. 127); the cell edges are 6.212, 6.212 and 3.321 Å and the angles 90.00°, 90.00° and 90.00°. Symmetry generates all atoms from Be at (0.000, 0.000, 0.000), Cr at (0.163, 0.337, 0.500) and Ge at (0.142, 0.642, 0.000).

For the formation energy, the calculation gives 0.23 eV per atom. As for the energy relative to the lowest polymorph listed for this composition: 5.9 kJ per mole of atoms.